# AsIrIO2 | the Alexandria database | GGA-PBE | relaxed
data_AsIrIO2
_chemical_formula_sum 'As1 Ir1 I1 O2'
_space_group_name_H-M_alt 'P 4/m m m'
_space_group_IT_number 123
_space_group_name_Hall '-P 4 2'
_cell_length_a 3.717
_cell_length_b 3.717
_cell_length_c 8.094
_cell_angle_alpha 90.00
_cell_angle_beta 90.00
_cell_angle_gamma 90.00
loop_
_atom_site_label
_atom_site_type_symbol
_atom_site_fract_x
_atom_site_fract_y
_atom_site_fract_z
As1 As 0.000 0.000 0.000
Ir1 Ir 0.500 0.500 0.500
I1 I 0.000 0.000 0.500
O1 O 0.000 0.500 0.000
# E_form (uncorrected), eV per formula unit: 1.56